# NaGdTm, optimized geometry, DFT GGA-PBE
# * energy: -2.645 eV/atom
data_NaGdTm
_chemical_formula_sum 'Na4 Gd4 Tm4'
_symmetry_space_group_name_H-M 'F -4 3 m'
_symmetry_Int_Tables_number 216
_symmetry_space_group_name_Hall 'F -4 2 3'
_cell_length_a 7.491
_cell_length_b 7.491
_cell_length_c 7.491
_cell_angle_alpha 90.00
_cell_angle_beta 90.00
_cell_angle_gamma 90.00
loop_
_atom_site_label
_atom_site_fract_x
_atom_site_fract_y
_atom_site_fract_z
Na1 0.000 0.000 0.000
Gd1 0.250 0.250 0.750
Tm1 0.250 0.250 0.250